# CsPd3N GGA-PBE relaxed
# Uncorrected energy   -4.3846 eV/atom
# ΔE to the lowest computed polymorph   0.000 eV/atom
# Total magnetization   0.00 μB/cell
# Formation energy without anion corrections   2.8 eV/f.u.
# Volume   17.93 Å³ per atom
data_CsPd3N
_cell_length_a 4.476
_cell_length_b 4.476
_cell_length_c 4.476
_cell_angle_alpha 90.00
_cell_angle_beta 90.00
_cell_angle_gamma 90.00
_symmetry_space_group_name_H-M 'P m -3 m'
_symmetry_Int_Tables_number 221
_symmetry_space_group_name_Hall '-P 4 2 3'
loop_
_atom_site_label
_atom_site_fract_x
_atom_site_fract_y
_atom_site_fract_z
Cs1 0.000 0.000 0.000
Pd1 0.000 0.500 0.500
N1 0.500 0.500 0.500



# SmHoAl GGA-PBE relaxed
# Uncorrected energy   -4.4922 eV/atom
# ΔE to the lowest computed polymorph   0.089 eV/atom
# Total magnetization   0.00 μB/cell
# Energy of formation   -14.1 kJ per mole of atoms
# Volume   26.99 Å³ per atom
data_SmHoAl
_cell_length_a 5.0919
_cell_length_b 5.0919
_cell_length_c 3.6056
_cell_angle_alpha 90.00
_cell_angle_beta 90.00
_cell_angle_gamma 120.00
_symmetry_space_group_name_H-M 'P 3 m 1'
_symmetry_Int_Tables_number 156
loop_
_symmetry_equiv_pos_as_xyz
'x,y,z'
'-y,x-y,z'
'-x+y,-x,z'
'-y,-x,z'
'-x+y,y,z'
'x,x-y,z'
loop_
_atom_site_label
_atom_site_fract_x
_atom_site_fract_y
_atom_site_fract_z
Sm1 0.0000 0.0000 0.0000
Ho1 0.3333 0.6667 0.4401
Al1 0.6667 0.3333 0.6772



# Ca2AlBPt6 GGA-PBE relaxed
# Uncorrected energy   -5.8724 eV/atom
# Total magnetization   0.00 μB/cell
# Energy of formation   -77.7 kJ per mole of atoms
# Volume   18.08 Å³ per atom
data_Ca2AlBPt6
_cell_length_a 9.860
_cell_length_b 5.696
_cell_length_c 7.232
_cell_angle_alpha 90.00
_cell_angle_beta 117.08
_cell_angle_gamma 90.00
_symmetry_space_group_name_H-M 'C 1 2/m 1'
_symmetry_Int_Tables_number 12
loop_
_symmetry_equiv_pos_as_xyz
'x,y,z'
'-x,-y,-z'
'-x,y,-z'
'x,-y,z'
'x+1/2,y+1/2,z'
'-x+1/2,-y+1/2,-z'
'-x+1/2,y+1/2,-z'
'x+1/2,-y+1/2,z'
loop_
_atom_site_label
_atom_site_fract_x
_atom_site_fract_y
_atom_site_fract_z
Ca1 0.211 0.000 0.133
Al1 0.000 0.500 0.000
B1 0.000 0.000 0.500
Pt1 0.023 0.261 0.309
Pt2 0.238 0.000 0.691



# CaAlHg2 GGA-PBE relaxed
# Uncorrected energy   -1.8110 eV/atom
# Total magnetization   0.00 μB/cell
# Energy of formation   -21.6 kJ per mole of atoms
# Volume   24.57 Å³ per atom
data_CaAlHg2
_cell_length_a 3.554
_cell_length_b 4.886
_cell_length_c 5.661
_cell_angle_alpha 90.00
_cell_angle_beta 90.00
_cell_angle_gamma 90.00
_symmetry_space_group_name_H-M 'P m m 2'
_symmetry_Int_Tables_number 25
loop_
_symmetry_equiv_pos_as_xyz
'x,y,z'
'-x,-y,z'
'-x,y,z'
'x,-y,z'
loop_
_atom_site_label
_atom_site_fract_x
_atom_site_fract_y
_atom_site_fract_z
Ca1 0.000 0.000 0.000
Al1 0.500 0.500 0.270
Hg1 0.500 0.000 0.481
Hg2 0.500 0.500 0.785



# Sm6Y3Sc2 GGA-PBE relaxed
# Uncorrected energy   -5.1886 eV/atom
# ΔE to the lowest computed polymorph   0.102 eV/atom
# Total magnetization   0.00 μB/cell
# Energy of formation   28.9 kJ per mole of atoms
# Volume   33.16 Å³ per atom
data_Sm6Y3Sc2
_cell_length_a 4.760
_cell_length_b 4.760
_cell_length_c 32.198
_cell_angle_alpha 90.00
_cell_angle_beta 90.00
_cell_angle_gamma 90.00
_symmetry_space_group_name_H-M 'I 4/m m m'
_symmetry_Int_Tables_number 139
_symmetry_space_group_name_Hall '-I 4 2'
loop_
_atom_site_label
_atom_site_fract_x
_atom_site_fract_y
_atom_site_fract_z
Sm1 0.000 0.000 0.192
Sm2 0.000 0.500 0.114
Y1 0.000 0.000 0.299
Y2 0.000 0.000 0.500
Sc1 0.000 0.000 0.043



# AcAl4Fe GGA-PBE relaxed
# Uncorrected energy   -4.9671 eV/atom
# Total magnetization   0.00 μB/cell
# Energy of formation   -36.4 kJ per mole of atoms
# Volume   19.47 Å³ per atom
data_AcAl4Fe
_cell_length_a 7.798
_cell_length_b 4.093
_cell_length_c 7.321
_cell_angle_alpha 90.00
_cell_angle_beta 90.00
_cell_angle_gamma 90.00
_symmetry_space_group_name_H-M 'P m m a'
_symmetry_Int_Tables_number 51
loop_
_symmetry_equiv_pos_as_xyz
'x,y,z'
'-x,-y,-z'
'-x+1/2,-y,z'
'x+1/2,y,-z'
'x+1/2,-y,-z'
'-x+1/2,y,z'
'-x,y,-z'
'x,-y,z'
loop_
_atom_site_label
_atom_site_fract_x
_atom_site_fract_y
_atom_site_fract_z
Ac1 0.250 0.000 0.110
Al1 0.000 0.000 0.500
Al2 0.075 0.500 0.774
Al3 0.250 0.500 0.457
Fe1 0.250 0.000 0.676